A geometry-optimized Pm2Zn2I structure. Source: the Alexandria database, functional PBE.

The value obtained for the total magnetic moment is 0.00 μB per cell. The formation energy (no corrections) comes out at -0.606 eV per atom. As for the space group: R-3m. As for the total DFT energy (no corrections): -3.326 eV/atom.

Unit cell a=4.3760 b=4.3760 c=8.4338 alpha=90.02 beta=105.04 gamma=119.94
Fractional coordinates of all 5 atoms:
Zn 0.3420 0.1710 0.5130
Zn 0.6580 0.8290 0.4870
Pm 0.1524 0.5762 0.7285
Pm 0.8476 0.4238 0.2715
I 0.0000 0.0000 0.0000